NbBrCl3 | PBE-GGA | optimized geometry

Uncorrected energy: -20.25 eV/cell
Energy relative to the elements, uncorrected: -0.594 eV per atom
Total moment: 0.110 μB per formula unit
D(E_F): 4.42 states/eV/f.u.

a = 4.895 Å, b = 4.895 Å, c = 4.895 Å
α = 90.00°, β = 90.00°, γ = 90.00°
Atoms (fractional coordinates):
Nb (0.000, 0.000, 0.000)
Br (0.500, 0.500, 0.500)
Cl (0.000, 0.000, 0.500)
Cl (0.000, 0.500, 0.000)
Cl (0.500, 0.000, 0.000)


Ba2TlSe2Cl2 | PBE-GGA | optimized geometry

Uncorrected energy: -27.98 eV/cell
Energy relative to the elements, uncorrected: -1.587 eV per atom
Total moment: 0.000 μB per formula unit
D(E_F): 2.25 states/eV/f.u.

a = 9.077 Å, b = 9.077 Å, c = 9.077 Å
α = 144.12°, β = 144.12°, γ = 51.64°
Atoms (fractional coordinates):
Ba (0.124, 0.124, 0.000)
Ba (0.876, 0.876, 0.000)
Tl (0.500, 0.500, 0.000)
Se (0.000, 0.500, 0.500)
Se (0.500, 0.000, 0.500)
Cl (0.306, 0.306, 0.000)
Cl (0.694, 0.694, 0.000)


KGaC | PBE-GGA | optimized geometry

Uncorrected energy: -22.95 eV/cell
Total moment: 0.000 μB per formula unit
D(E_F): 0.65 states/eV/f.u.

a = 3.720 Å, b = 3.720 Å, c = 10.266 Å
α = 90.00°, β = 90.00°, γ = 90.00°
Atoms (fractional coordinates):
K (0.250, 0.250, 0.230)
K (0.750, 0.750, 0.770)
Ga (0.250, 0.750, 0.500)
Ga (0.750, 0.250, 0.500)
C (0.250, 0.250, 0.606)
C (0.750, 0.750, 0.394)


PaTiPd | PBE-GGA | optimized geometry

Uncorrected energy: -45.50 eV/cell
Total moment: 0.304 μB per formula unit
D(E_F): 4.59 states/eV/f.u.

a = 6.689 Å, b = 6.689 Å, c = 6.689 Å
α = 41.44°, β = 41.44°, γ = 41.44°
Atoms (fractional coordinates):
Pa (0.100, 0.100, 0.100)
Pa (0.900, 0.900, 0.900)
Ti (0.431, 0.431, 0.431)
Ti (0.569, 0.569, 0.569)
Pd (0.290, 0.290, 0.290)
Pd (0.710, 0.710, 0.710)


Cd3AuSe | PBE-GGA | optimized geometry

Uncorrected energy: -8.75 eV/cell
Energy relative to the elements, uncorrected: 0.150 eV per atom
Total moment: 0.000 μB per formula unit
D(E_F): 2.78 states/eV/f.u.

a = 5.258 Å, b = 5.258 Å, c = 5.258 Å
α = 90.00°, β = 90.00°, γ = 90.00°
Atoms (fractional coordinates):
Cd (0.000, 0.000, 0.500)
Cd (0.000, 0.500, 0.000)
Cd (0.500, 0.000, 0.000)
Au (0.000, 0.000, 0.000)
Se (0.500, 0.500, 0.500)


GeAsPbN2 | PBE-GGA | optimized geometry

Uncorrected energy: -20.01 eV/cell
Energy relative to the elements, uncorrected: 1.923 eV per atom
Total moment: 2.035 μB per formula unit
D(E_F): 4.19 states/eV/f.u.

a = 4.342 Å, b = 4.342 Å, c = 5.725 Å
α = 90.00°, β = 90.00°, γ = 90.00°
Atoms (fractional coordinates):
Ge (0.000, 0.000, 0.000)
As (0.500, 0.500, 0.000)
Pb (0.000, 0.000, 0.500)
N (0.000, 0.500, 0.500)
N (0.500, 0.000, 0.500)


Ca3Sb5 | PBE-GGA | optimized geometry

Uncorrected energy: -31.24 eV/cell
Energy relative to the elements, uncorrected: -0.578 eV per atom
Total moment: 0.000 μB per formula unit
D(E_F): 5.45 states/eV/f.u.

a = 11.583 Å, b = 11.583 Å, c = 11.583 Å
α = 157.37°, β = 157.37°, γ = 32.22°
Atoms (fractional coordinates):
Ca (0.000, 0.000, 0.000)
Ca (0.642, 0.142, 0.500)
Ca (0.858, 0.358, 0.500)
Sb (0.113, 0.613, 0.500)
Sb (0.253, 0.253, 0.000)
Sb (0.387, 0.887, 0.500)
Sb (0.500, 0.500, 0.000)
Sb (0.747, 0.747, 0.000)


LaAlRu2 | PBE-GGA | optimized geometry

Uncorrected energy: -27.26 eV/cell
Total moment: 0.000 μB per formula unit
D(E_F): 3.03 states/eV/f.u.

a = 4.606 Å, b = 3.168 Å, c = 5.408 Å
α = 90.00°, β = 113.81°, γ = 90.00°
Atoms (fractional coordinates):
La (0.000, 0.000, 0.000)
Al (0.000, 0.500, 0.500)
Ru (0.500, 0.000, 0.500)
Ru (0.500, 0.500, 0.000)